Computed, not measured: a geometry-optimized Y6PSe5 structure at the PBE-GGA level of DFT.

a b c (Å): 7.0763 7.0581 7.0767
angles (deg): 60.09 80.46 70.60
Last column: nearest neighbours and their distance in Å.
Positions (direct):
Y (0.7640, 0.0788, 0.3135)  1 P 2.72, 5 Se 2.89-3.02
Y (0.2360, 0.6078, 0.3135)  1 P 2.72, 5 Se 2.89-3.02
Y (0.2372, 0.2346, 0.0000)  1 P 2.72, 5 Se 2.90-3.05
Y (0.7628, 0.7654, 0.0000)  1 P 2.72, 5 Se 2.90-3.05
Y (0.7640, 0.3922, 0.6865)  1 P 2.72, 5 Se 2.89-3.02
Y (0.2360, 0.9212, 0.6865)  1 P 2.72, 5 Se 2.89-3.02
P (0.0000, 0.0000, 0.0000)  6 Y 2.72
Se (0.5000, 0.1715, 0.6570)  6 Y 2.89-3.02
Se (0.0000, 0.3337, 0.3326)  6 Y 2.89-2.90
Se (0.5000, 0.5000, 0.0000)  6 Y 2.89-3.05
Se (0.0000, 0.6663, 0.6674)  6 Y 2.89-2.90
Se (0.5000, 0.8285, 0.3430)  6 Y 2.89-3.02

Properties
The value obtained for the total energy is -6.931 eV per atom. The calculation puts the volume at 288.96 Å³ per cell. For the uncorrected formation energy, the calculation gives -21.6 eV per formula unit. The symmetry is C2/m, No. 12. As for the total magnetization: 0.0 μB per formula unit.

---

Computed, not measured: a geometry-optimized Y4ZnPSe2 structure at the PBE-GGA level of DFT.

a b c (Å): 4.0153 7.0775 7.1635
angles (deg): 108.69 90.00 90.00
Last column: nearest neighbours and their distance in Å.
Positions (direct):
Y (0.5000, 0.2384, 0.2353)  2 P 2.81, 1 Zn 2.88, 3 Se 2.91-2.97
Y (0.5000, 0.7616, 0.7647)  2 P 2.81, 1 Zn 2.88, 3 Se 2.91-2.97
Y (0.0000, 0.2453, 0.7544)  1 P 2.84, 3 Se 2.89-2.95, 2 Zn 2.89
Y (0.0000, 0.7547, 0.2456)  1 P 2.84, 3 Se 2.89-2.95, 2 Zn 2.89
Zn (0.5000, 0.5000, 0.0000)  6 Y 2.88-2.89
P (0.0000, 0.0000, 0.0000)  6 Y 2.81-2.84
Se (0.5000, 0.0000, 0.5000)  6 Y 2.89-2.91
Se (0.0000, 0.5000, 0.5000)  6 Y 2.95-2.97

Properties
The value obtained for the total energy is -6.313 eV per atom. The calculation puts the volume at 192.84 Å³ per cell. For the uncorrected formation energy, the calculation gives -11.0 eV per formula unit. The symmetry is P2/m, No. 10. As for the total magnetization: 0.0 μB per formula unit.

---

Computed, not measured: a geometry-optimized YZrPSe structure at the PBE-GGA level of DFT.

a b c (Å): 3.8313 3.8332 7.1512
angles (deg): 90.00 105.51 120.02
Last column: nearest neighbours and their distance in Å.
Positions (direct):
Y (0.4903, 0.1431, 0.6490)  3 P 2.73, 3 Se 3.00
Zr (0.1150, 0.9554, 0.0851)  3 P 2.60, 3 Se 2.86
P (0.3142, 0.5550, 0.8845)  3 Zr 2.60, 3 Y 2.73
Se (0.9584, 0.3772, 0.3510)  3 Zr 2.86, 3 Y 3.00

Properties
The value obtained for the total energy is -7.506 eV per atom. The calculation puts the volume at 86.49 Å³ per cell. For the uncorrected formation energy, the calculation gives -6.1 eV per formula unit. The symmetry is R3m, No. 160. As for the total magnetization: 0.0 μB per formula unit.

---

uncorrected formation energy of number 1 (Y6PSe5)?
-21.6 eV per formula unit

---

Which value of total magnetization does entry 2 give?
0.0 μB per formula unit

---

Look up the uncorrected formation energy of the first one.
-21.6 eV per formula unit